[1]
VASP calculation (PBE) on a relaxed NaSb2TeMo crystal.

Geometry as POSCAR:
```
NaSb2TeMo
1.0
5.928 0.000 0.000
0.000 5.928 0.000
0.000 0.000 5.171
Na Sb Te Mo
1 2 1 1
Cartesian
0.000 0.000 0.000 Na
0.000 2.964 2.585 Sb
2.964 0.000 2.585 Sb
2.964 2.964 2.585 Te
2.964 2.964 0.000 Mo
```

Results
Its space group is P4/mmm. For the raw formation energy, the calculation gives 950 meV/atom. The calculation puts the offset from the most stable computed form at 719 meV/atom. The uncorrected energy comes out at -3.757 eV per atom.

[2]
VASP calculation (PBE) on a relaxed Ga2MoIr2 crystal.

Geometry as POSCAR:
```
Ga2MoIr2
1.0
7.313 0.000 0.000
0.000 7.313 0.000
0.000 0.000 2.853
Ga Mo Ir
4 2 4
Cartesian
1.200 2.457 0.000 Ga
2.457 6.113 0.000 Ga
4.856 1.200 0.000 Ga
6.113 4.856 0.000 Ga
0.000 0.000 1.427 Mo
3.656 3.656 1.427 Mo
0.987 4.643 1.427 Ir
2.670 0.987 1.427 Ir
4.643 6.326 1.427 Ir
6.326 2.670 1.427 Ir
```

Results
Its space group is P4/mbm. The calculation puts the offset from the most stable computed form at 120 meV/atom. The uncorrected energy comes out at -6.967 eV per atom. The calculation puts the energy of formation at -0.23 eV/f.u.

[3]
VASP calculation (PBE) on a relaxed Sr2ZnP crystal.

Geometry as POSCAR:
```
Sr2ZnP
1.0
7.620 0.000 0.000
0.000 7.620 0.000
0.000 0.000 7.620
Sr Zn P
8 4 4
Cartesian
0.000 0.000 0.000 Sr
0.000 3.810 3.810 Sr
1.905 1.905 1.905 Sr
1.905 5.715 5.715 Sr
3.810 0.000 3.810 Sr
3.810 3.810 0.000 Sr
5.715 1.905 5.715 Sr
5.715 5.715 1.905 Sr
1.905 1.905 5.715 Zn
1.905 5.715 1.905 Zn
5.715 1.905 1.905 Zn
5.715 5.715 5.715 Zn
0.000 0.000 3.810 P
0.000 3.810 0.000 P
3.810 0.000 0.000 P
3.810 3.810 3.810 P
```

Results
Its space group is F-43m. The calculation puts the offset from the most stable computed form at 661 meV/atom. The uncorrected energy comes out at -2.503 eV per atom. The calculation puts the energy of formation at 0.03 eV/f.u.